(1)
A geometry-optimized B5C7 structure, computed with GGA-PBE.

Results
SG ... P-4m2 (115)
DOS at the Fermi energy ... 2.6 states/eV/f.u.

Geometry as POSCAR:
```
B5C7
1.0
2.511 0.000 0.000
0.000 2.511 0.000
0.000 0.000 12.379
B C
5 7
Direct
0.000 0.000 0.000
0.000 0.000 0.340
0.000 0.000 0.660
0.500 0.500 0.172
0.500 0.500 0.828
0.000 0.500 0.085
0.000 0.500 0.428
0.000 0.500 0.743
0.500 0.000 0.257
0.500 0.000 0.572
0.500 0.000 0.915
0.500 0.500 0.500
```

(2)
A geometry-optimized B5C7 structure, computed with GGA-PBE.

Results
SG ... C222 (21)
DOS at the Fermi energy ... 4.9 states/eV/f.u.

Geometry as POSCAR:
```
B5C7
1.0
1.760 -6.287 0.000
1.760 6.287 0.000
0.000 0.000 3.516
B C
5 7
Direct
0.000 0.000 0.000
0.164 0.352 0.741
0.352 0.164 0.259
0.648 0.836 0.259
0.836 0.648 0.741
0.000 0.500 0.247
0.179 0.821 0.500
0.321 0.679 0.000
0.500 0.000 0.753
0.500 0.500 0.500
0.679 0.321 0.000
0.821 0.179 0.500
```

Stability comparison, relative energies in eV/atom: (1) 0.000; (2) 0.012

(1)
A geometry-optimized NaIrRu structure, computed with GGA-PBE.

Results
SG ... Pnma (62)
DOS at the Fermi energy ... 1.8 states/eV/f.u.

Geometry as POSCAR:
```
NaIrRu
1.0
7.443 0.000 0.000
0.000 4.208 0.000
0.000 0.000 6.937
Na Ir Ru
4 4 4
Direct
0.000 0.250 0.152
0.000 0.750 0.848
0.500 0.250 0.348
0.500 0.750 0.652
0.165 0.250 0.597
0.335 0.750 0.097
0.665 0.250 0.903
0.835 0.750 0.403
0.161 0.750 0.407
0.339 0.250 0.907
0.661 0.750 0.093
0.839 0.250 0.593
```

(2)
A geometry-optimized NaIrRu structure, computed with GGA-PBE.

Results
SG ... Ama2 (40)
DOS at the Fermi energy ... 2.2 states/eV/f.u.

Geometry as POSCAR:
```
NaIrRu
1.0
4.418 0.000 0.000
0.000 2.497 5.435
0.000 -2.497 5.435
Na Ir Ru
2 2 2
Direct
0.250 0.237 0.763
0.750 0.763 0.237
0.250 0.425 0.137
0.750 0.137 0.425
0.250 0.866 0.580
0.750 0.580 0.866
```

Stability comparison, relative energies in eV/atom: (1) 0.000; (2) 0.117

(1)
A geometry-optimized Nb2Pt2Rh structure, computed with GGA-PBE.

Results
SG ... Cmmm (65)
DOS at the Fermi energy ... 5.0 states/eV/f.u.

Geometry as POSCAR:
```
Nb2Pt2Rh
1.0
2.078 -7.044 0.000
2.078 7.044 0.000
0.000 0.000 2.806
Nb Pt Rh
2 2 1
Direct
0.109 0.891 0.000
0.891 0.109 0.000
0.309 0.691 0.500
0.691 0.309 0.500
0.500 0.500 0.500
```

(2)
A geometry-optimized Nb2Pt2Rh structure, computed with GGA-PBE.

Results
SG ... P4/mbm (127)
DOS at the Fermi energy ... 4.0 states/eV/f.u.

Geometry as POSCAR:
```
Nb2Pt2Rh
1.0
7.184 0.000 0.000
0.000 7.184 0.000
0.000 0.000 3.323
Nb Pt Rh
4 4 2
Direct
0.172 0.328 0.000
0.328 0.828 0.000
0.672 0.172 0.000
0.828 0.672 0.000
0.133 0.633 0.500
0.367 0.133 0.500
0.633 0.867 0.500
0.867 0.367 0.500
0.000 0.000 0.500
0.500 0.500 0.500
```

Stability comparison, relative energies in eV/atom: (1) 0.000; (2) 0.090